# 1
First-principles (PBE) data for a relaxed structure of TbB4Ir, as listed in OQMD.

Summary:
SG   Immm (71)
Total moment   0.0 μB per formula unit
Excess energy over the best structure of this formula in the dataset   52 meV/atom
Final energy   -6.83 eV/atom

Cell lengths 4.8362, 4.8362, 4.8362 Å; angles 141.60, 113.61, 79.38 degrees
Sites, in units of the cell vectors:
Tb1 0.0000 0.0000 0.0000
B1 0.0742 0.7444 0.3298
B2 0.4146 0.7444 0.6702
B3 0.5854 0.2556 0.3298
B4 0.9258 0.2556 0.6702
Ir1 0.5000 0.5000 0.0000

# 2
First-principles (PBE) data for a relaxed structure of TbB4Ir, as listed in OQMD.

Summary:
SG   P6/mmm (191)
Total moment   0.0 μB per formula unit
Excess energy over the best structure of this formula in the dataset   0 meV/atom
Final energy   -6.88 eV/atom

Cell lengths 3.2593, 3.2593, 6.7261 Å; angles 90.00, 90.00, 120.00 degrees
Sites, in units of the cell vectors:
Tb1 0.0000 0.0000 0.0000
B1 0.3333 0.6667 0.2837
B2 0.3333 0.6667 0.7163
B3 0.6667 0.3333 0.2837
B4 0.6667 0.3333 0.7163
Ir1 0.0000 0.0000 0.5000

# 3
First-principles (PBE) data for a relaxed structure of TbB4Ir4, as listed in OQMD.

Summary:
SG   P4_2/n (86)
Total moment   0.0 μB per formula unit
Final energy   -7.98 eV/atom

Cell lengths 7.6348, 7.6348, 3.9918 Å; angles 90.00, 90.00, 90.00 degrees
Sites, in units of the cell vectors:
Tb1 0.2500 0.2500 0.2500
Tb2 0.7500 0.7500 0.7500
B1 0.0285 0.5920 0.1387
B2 0.0920 0.9715 0.6387
B3 0.4080 0.5285 0.6387
B4 0.4715 0.9080 0.1387
B5 0.5285 0.0920 0.8613
B6 0.5920 0.4715 0.3613
B7 0.9080 0.0285 0.3613
B8 0.9715 0.4080 0.8613
Ir1 0.0901 0.8594 0.1371
Ir2 0.1406 0.5901 0.6371
Ir3 0.3594 0.9099 0.6371
Ir4 0.4099 0.6406 0.1371
Ir5 0.5901 0.3594 0.8629
Ir6 0.6406 0.0901 0.3629
Ir7 0.8594 0.4099 0.3629
Ir8 0.9099 0.1406 0.8629

# 4
First-principles (PBE) data for a relaxed structure of TcB2Ir, as listed in OQMD.

Summary:
SG   F-43m (216)
Total moment   0.0 μB per formula unit
Final energy   -7.05 eV/atom

Cell lengths 4.0219, 4.0219, 4.0219 Å; angles 60.00, 60.00, 60.00 degrees
Sites, in units of the cell vectors:
Tc1 0.0000 0.0000 0.0000
B1 0.5000 0.5000 0.5000
B2 0.7500 0.7500 0.7500
Ir1 0.2500 0.2500 0.2500

Repeat the fourth record exactly.
First-principles (PBE) data for a relaxed structure of TcB2Ir, as listed in OQMD.

Summary:
SG   F-43m (216)
Total moment   0.0 μB per formula unit
Final energy   -7.05 eV/atom

Cell lengths 4.0219, 4.0219, 4.0219 Å; angles 60.00, 60.00, 60.00 degrees
Sites, in units of the cell vectors:
Tc1 0.0000 0.0000 0.0000
B1 0.5000 0.5000 0.5000
B2 0.7500 0.7500 0.7500
Ir1 0.2500 0.2500 0.2500

Look up the final energy of the third one. -7.98 eV/atom

Number 4 is which compound? TcB2Ir